Compound: TlRuF6
Source: Alexandria via LeMat-Bulk
Functional: PBE-GGA
Structure: optimized geometry

a b c (Å): 5.2233 5.2233 5.2600
angles (deg): 98.77 98.77 95.53
Closest atoms and distances in Å follow each position.
Positions (direct):
Tl 0.0000 0.0000 0.0000  12 F 2.96-3.18
Ru 0.5000 0.5000 0.5000  6 F 1.90
F 0.2410 0.5840 0.2406  1 Ru 1.90
F 0.2461 0.2461 0.5705  1 Ru 1.90
F 0.4160 0.7590 0.7594  1 Ru 1.90
F 0.5840 0.2410 0.2406  1 Ru 1.90
F 0.7539 0.7539 0.4295  1 Ru 1.90
F 0.7590 0.4160 0.7594  1 Ru 1.90

Calculated values
SG: No. 12
ΔE_f (raw) in kcal/mol of atoms: -42.72